# 1
A plane-wave DFT calculation with PBE was carried out for a relaxed La2Nd5In4 crystal.

Values from the calculation:
Size of the total moment, μB per cell: 0.0
Final energy, eV/atom: -4.36
Space-group type: No. 10

a b c (Å): 8.8592 3.5227 10.8909
angles (deg): 90.00 95.66 90.00
With the nearest neighbours (Å) after each atom.
Atoms (fractional coordinates):
La: 0.0791 0.0000 0.1346  1 La 3.12, 6 In 3.32-3.44, 2 Nd 3.32-3.37
La: 0.9209 0.0000 0.8654  1 La 3.12, 6 In 3.32-3.44, 2 Nd 3.32-3.37
Nd: 0.1588 0.0000 0.6421  1 La 3.37, 6 In 3.37-3.62, 3 Nd 3.52-3.53
Nd: 0.4558 0.0000 0.1670  1 La 3.32, 4 In 3.32-3.54, 3 Nd 3.52-3.61
Nd: 0.5000 0.0000 0.5000  4 In 3.34, 6 Nd 3.52-3.61
Nd: 0.5442 0.0000 0.8330  1 La 3.32, 4 In 3.32-3.54, 3 Nd 3.52-3.61
Nd: 0.8412 0.0000 0.3579  1 La 3.37, 6 In 3.37-3.62, 3 Nd 3.52-3.53
In: 0.1997 0.5000 0.3832  2 La 3.32, 6 Nd 3.34-3.62, 2 In 3.52
In: 0.2549 0.5000 0.9199  6 Nd 3.32-3.54, 4 La 3.42-3.44, 2 In 3.52
In: 0.7451 0.5000 0.0801  6 Nd 3.32-3.54, 4 La 3.42-3.44, 2 In 3.52
In: 0.8003 0.5000 0.6168  2 La 3.32, 6 Nd 3.34-3.62, 2 In 3.52

=====

# 2
A plane-wave DFT calculation with PBE was carried out for a relaxed LaNd5In2 crystal.

Values from the calculation:
Size of the total moment, μB per cell: 0.0
Final energy, eV/atom: -4.46
Space-group type: No. 71

a b c (Å): 3.7461 10.9672 12.8479
angles (deg): 90.00 90.00 90.00
With the nearest neighbours (Å) after each atom.
Atoms (fractional coordinates):
La: 0.0000 0.0000 0.0000  4 In 3.52, 2 La 3.75
La: 0.5000 0.5000 0.5000  4 In 3.52, 2 La 3.75
Nd: 0.0000 0.2215 0.3608  3 In 3.28-3.48, 5 Nd 3.47-3.58
Nd: 0.0000 0.2215 0.6392  3 In 3.28-3.48, 5 Nd 3.47-3.58
Nd: 0.0000 0.5000 0.0000  2 In 3.44, 10 Nd 3.55-3.75
Nd: 0.0000 0.7785 0.3608  3 In 3.28-3.48, 5 Nd 3.47-3.58
Nd: 0.0000 0.7785 0.6392  3 In 3.28-3.48, 5 Nd 3.47-3.58
Nd: 0.5000 0.0000 0.5000  2 In 3.44, 10 Nd 3.55-3.75
Nd: 0.5000 0.2785 0.1392  3 In 3.28-3.48, 5 Nd 3.47-3.58
Nd: 0.5000 0.2785 0.8608  3 In 3.28-3.48, 5 Nd 3.47-3.58
Nd: 0.5000 0.7215 0.1392  3 In 3.28-3.48, 5 Nd 3.47-3.58
Nd: 0.5000 0.7215 0.8608  3 In 3.28-3.48, 5 Nd 3.47-3.58
In: 0.0000 0.5000 0.2677  7 Nd 3.28-3.48, 2 La 3.52
In: 0.0000 0.5000 0.7323  7 Nd 3.28-3.48, 2 La 3.52
In: 0.5000 0.0000 0.2323  7 Nd 3.28-3.48, 2 La 3.52
In: 0.5000 0.0000 0.7677  7 Nd 3.28-3.48, 2 La 3.52

=====

# 3
A plane-wave DFT calculation with PBE was carried out for a relaxed La5NdIn3 crystal.

Values from the calculation:
Size of the total moment, μB per cell: 0.0
Final energy, eV/atom: -4.54
Space-group type: No. 193

a b c (Å): 9.7482 9.7482 7.0862
angles (deg): 90.00 90.00 120.00
With the nearest neighbours (Å) after each atom.
Atoms (fractional coordinates):
La: 0.0000 0.3369 0.2500  5 In 3.24-3.54
La: 0.0000 0.6631 0.7500  5 In 3.24-3.54
La: 0.3333 0.6667 0.0000  8 La 3.54-3.69, 6 In 3.72
La: 0.3333 0.6667 0.5000  8 La 3.54-3.69, 6 In 3.72
La: 0.3369 0.0000 0.2500  5 In 3.24-3.54
La: 0.3369 0.3369 0.7500  5 In 3.24-3.54
La: 0.6631 0.0000 0.7500  5 In 3.24-3.54
La: 0.6631 0.6631 0.2500  5 In 3.24-3.54
La: 0.6667 0.3333 0.0000  8 La 3.54-3.69, 6 In 3.72
La: 0.6667 0.3333 0.5000  8 La 3.54-3.69, 6 In 3.72
Nd: 0.0000 0.0000 0.0000  2 Nd 3.54, 6 In 3.66, 6 La 3.73
Nd: 0.0000 0.0000 0.5000  2 Nd 3.54, 6 In 3.66, 6 La 3.73
In: 0.0000 0.3281 0.7500  5 La 3.24-3.54
In: 0.0000 0.6719 0.2500  5 La 3.24-3.54
In: 0.3281 0.0000 0.7500  5 La 3.24-3.54
In: 0.3281 0.3281 0.2500  5 La 3.24-3.54
In: 0.6719 0.0000 0.2500  5 La 3.24-3.54
In: 0.6719 0.6719 0.7500  5 La 3.24-3.54